Entry 1:
Entry from Alexandria via LeMat-Bulk: Tm2Ag2Pd5 after structural relaxation (PBE).

## Properties
ΔH_f (0 K) (kJ per mole of atoms): -46.7

Cell: 9.722 9.722 9.722 Å, 145.14 54.74 139.18°
Positions (direct):
Tm  0.000  0.000  0.000
Tm  0.301  0.051  0.250
Tm  0.500  0.000  0.500
Tm  0.699  0.949  0.750
Ag  0.007  0.438  0.569
Ag  0.369  0.438  0.931
Ag  0.631  0.562  0.069
Ag  0.993  0.562  0.431
Pd  0.079  0.000  0.579
Pd  0.079  0.500  0.079
Pd  0.289  0.539  0.750
Pd  0.373  0.000  0.873
Pd  0.373  0.500  0.373
Pd  0.627  0.000  0.127
Pd  0.627  0.500  0.627
Pd  0.711  0.461  0.250
Pd  0.921  0.000  0.421
Pd  0.921  0.500  0.921

---

Entry 2:
Entry from Alexandria via LeMat-Bulk: TmAgPd2 after structural relaxation (PBE).

## Properties
ΔH_f (0 K) (kJ per mole of atoms): -63.2

Cell: 6.643 6.643 6.643 Å, 90.00 90.00 90.00°
Positions (direct):
Tm  0.000  0.000  0.000
Tm  0.000  0.500  0.500
Tm  0.500  0.000  0.500
Tm  0.500  0.500  0.000
Ag  0.000  0.000  0.500
Ag  0.000  0.500  0.000
Ag  0.500  0.000  0.000
Ag  0.500  0.500  0.500
Pd  0.250  0.250  0.250
Pd  0.250  0.250  0.750
Pd  0.250  0.750  0.250
Pd  0.250  0.750  0.750
Pd  0.750  0.250  0.250
Pd  0.750  0.250  0.750
Pd  0.750  0.750  0.250
Pd  0.750  0.750  0.750

---

Entry 3:
Entry from Alexandria via LeMat-Bulk: TmAg5Pd6 after structural relaxation (PBE).

## Properties
ΔH_f (0 K) (kJ per mole of atoms): -27.5

Cell: 4.814 6.044 7.078 Å, 90.00 96.67 90.00°
Positions (direct):
Tm  0.000  0.000  0.000
Ag  0.000  0.500  0.000
Ag  0.340  0.500  0.669
Ag  0.343  0.000  0.664
Ag  0.657  0.000  0.336
Ag  0.660  0.500  0.331
Pd  0.159  0.251  0.333
Pd  0.159  0.749  0.333
Pd  0.500  0.252  0.000
Pd  0.500  0.748  0.000
Pd  0.841  0.251  0.667
Pd  0.841  0.749  0.667

---

Entry 4:
Entry from Alexandria via LeMat-Bulk: Tm2Ag2Pd after structural relaxation (PBE).

## Properties
ΔH_f (0 K) (kJ per mole of atoms): -38.1

Cell: 7.548 7.548 7.548 Å, 129.83 68.43 136.65°
Positions (direct):
Tm  0.166  0.200  0.366
Tm  0.334  0.700  0.034
Tm  0.666  0.300  0.966
Tm  0.834  0.800  0.634
Ag  0.093  0.648  0.741
Ag  0.407  0.148  0.556
Ag  0.593  0.852  0.444
Ag  0.907  0.352  0.259
Pd  0.250  0.250  0.000
Pd  0.750  0.750  0.000

---

Entry 5:
Entry from Alexandria via LeMat-Bulk: Tm2AgPd after structural relaxation (PBE).

## Properties
ΔH_f (0 K) (kJ per mole of atoms): -60.2

Cell: 7.044 7.044 7.044 Å, 90.00 90.00 90.00°
Positions (direct):
Tm  0.250  0.250  0.250
Tm  0.250  0.250  0.750
Tm  0.250  0.750  0.250
Tm  0.250  0.750  0.750
Tm  0.750  0.250  0.250
Tm  0.750  0.250  0.750
Tm  0.750  0.750  0.250
Tm  0.750  0.750  0.750
Ag  0.000  0.000  0.000
Ag  0.000  0.500  0.500
Ag  0.500  0.000  0.500
Ag  0.500  0.500  0.000
Pd  0.000  0.000  0.500
Pd  0.000  0.500  0.000
Pd  0.500  0.000  0.000
Pd  0.500  0.500  0.500

---

Entry 6:
Entry from Alexandria via LeMat-Bulk: TmAg2Pd7 after structural relaxation (PBE).

## Properties
ΔH_f (0 K) (kJ per mole of atoms): 14.5

Cell: 7.798 7.798 4.369 Å, 90.00 90.00 125.35°
Positions (direct):
Tm  0.000  0.000  0.000
Ag  0.298  0.702  0.500
Ag  0.702  0.298  0.500
Pd  0.082  0.286  0.500
Pd  0.190  0.810  0.000
Pd  0.286  0.082  0.500
Pd  0.500  0.500  0.500
Pd  0.714  0.918  0.500
Pd  0.810  0.190  0.000
Pd  0.918  0.714  0.500

---

Entry 7:
Entry from Alexandria via LeMat-Bulk: TmAg2Pd4 after structural relaxation (PBE).

## Properties
ΔH_f (0 K) (kJ per mole of atoms): -24.2

Cell: 6.651 6.651 5.966 Å, 90.00 90.00 90.00°
Positions (direct):
Tm  0.000  0.000  0.000
Tm  0.500  0.500  0.500
Ag  0.000  0.500  0.000
Ag  0.000  0.500  0.500
Ag  0.500  0.000  0.000
Ag  0.500  0.000  0.500
Pd  0.250  0.250  0.250
Pd  0.250  0.250  0.750
Pd  0.250  0.750  0.250
Pd  0.250  0.750  0.750
Pd  0.750  0.250  0.250
Pd  0.750  0.250  0.750
Pd  0.750  0.750  0.250
Pd  0.750  0.750  0.750

---

Entry 8:
Entry from Alexandria via LeMat-Bulk: TmAgPd2 after structural relaxation (PBE).

## Properties
ΔH_f (0 K) (kJ per mole of atoms): -70.3

Cell: 4.281 4.281 3.895 Å, 90.00 90.00 90.00°
Positions (direct):
Tm  0.000  0.000  0.000
Ag  0.500  0.500  0.000
Pd  0.000  0.500  0.500
Pd  0.500  0.000  0.500

---

Entry 9:
Entry from Alexandria via LeMat-Bulk: Tm2AgPd4 after structural relaxation (PBE).

## Properties
ΔH_f (0 K) (kJ per mole of atoms): -60.3

Cell: 3.977 3.977 18.215 Å, 90.00 90.00 90.00°
Positions (direct):
Tm  0.000  0.000  0.122
Tm  0.000  0.000  0.878
Tm  0.500  0.500  0.378
Tm  0.500  0.500  0.622
Ag  0.000  0.000  0.500
Ag  0.500  0.500  0.000
Pd  0.000  0.000  0.355
Pd  0.000  0.000  0.645
Pd  0.000  0.500  0.250
Pd  0.000  0.500  0.750
Pd  0.500  0.000  0.250
Pd  0.500  0.000  0.750
Pd  0.500  0.500  0.145
Pd  0.500  0.500  0.855

---

Entry 10:
Entry from Alexandria via LeMat-Bulk: Tm12AgPd6 after structural relaxation (PBE).

## Properties
ΔH_f (0 K) (kJ per mole of atoms): -44.7

Cell: 8.277 8.277 8.277 Å, 102.10 102.10 102.10°
Positions (direct):
Tm  0.063  0.671  0.927
Tm  0.073  0.937  0.329
Tm  0.172  0.414  0.562
Tm  0.329  0.073  0.937
Tm  0.414  0.563  0.172
Tm  0.438  0.828  0.586
Tm  0.563  0.172  0.414
Tm  0.586  0.438  0.828
Tm  0.671  0.927  0.063
Tm  0.828  0.586  0.437
Tm  0.927  0.063  0.671
Tm  0.937  0.329  0.073
Ag  0.000  0.000  0.000
Pd  0.141  0.620  0.314
Pd  0.314  0.141  0.620
Pd  0.380  0.686  0.859
Pd  0.620  0.314  0.141
Pd  0.686  0.859  0.380
Pd  0.859  0.380  0.686

---

Entry 11:
Entry from Alexandria via LeMat-Bulk: TmAg3Pd6 after structural relaxation (PBE).

## Properties
ΔH_f (0 K) (kJ per mole of atoms): -30.8

Cell: 8.924 4.150 9.175 Å, 90.00 92.31 90.00°
Positions (direct):
Tm  0.067  0.250  0.374
Tm  0.933  0.750  0.626
Ag  0.251  0.250  0.002
Ag  0.343  0.750  0.803
Ag  0.446  0.250  0.600
Ag  0.554  0.750  0.400
Ag  0.657  0.250  0.197
Ag  0.749  0.750  0.998
Pd  0.048  0.750  0.906
Pd  0.142  0.250  0.697
Pd  0.159  0.750  0.197
Pd  0.246  0.750  0.501
Pd  0.361  0.250  0.297
Pd  0.453  0.750  0.100
Pd  0.547  0.250  0.900
Pd  0.639  0.750  0.703
Pd  0.754  0.250  0.499
Pd  0.841  0.250  0.803
Pd  0.858  0.750  0.303
Pd  0.952  0.250  0.094

---

Entry 12:
Entry from Alexandria via LeMat-Bulk: Tm6AgPd2 after structural relaxation (PBE).

## Properties
ΔH_f (0 K) (kJ per mole of atoms): -48.0

Cell: 8.374 8.374 8.374 Å, 111.94 111.15 105.40°
Positions (direct):
Tm  0.050  0.241  0.808
Tm  0.181  0.282  0.463
Tm  0.181  0.718  0.898
Tm  0.328  0.030  0.702
Tm  0.328  0.626  0.298
Tm  0.433  0.241  0.192
Tm  0.567  0.759  0.808
Tm  0.672  0.374  0.702
Tm  0.672  0.970  0.298
Tm  0.819  0.282  0.102
Tm  0.819  0.718  0.537
Tm  0.950  0.759  0.192
Ag  0.000  0.000  0.000
Ag  0.500  0.500  0.000
Pd  0.134  0.634  0.500
Pd  0.341  0.000  0.341
Pd  0.659  0.000  0.659
Pd  0.866  0.366  0.500

---

Entry 13:
Entry from Alexandria via LeMat-Bulk: TmAg3Pd7 after structural relaxation (PBE).

## Properties
ΔH_f (0 K) (kJ per mole of atoms): -5.0

Cell: 6.599 6.599 5.133 Å, 106.87 106.87 89.87°
Positions (direct):
Tm  0.000  0.000  0.000
Ag  0.291  0.709  0.500
Ag  0.500  0.500  0.000
Ag  0.709  0.291  0.500
Pd  0.000  0.000  0.500
Pd  0.080  0.563  0.821
Pd  0.283  0.283  0.456
Pd  0.437  0.920  0.179
Pd  0.563  0.080  0.821
Pd  0.717  0.717  0.544
Pd  0.920  0.437  0.179

---

Entry 14:
Entry from Alexandria via LeMat-Bulk: Tm6AgPd5 after structural relaxation (PBE).

## Properties
ΔH_f (0 K) (kJ per mole of atoms): -65.8

Cell: 6.656 6.656 7.086 Å, 97.65 97.65 113.97°
Positions (direct):
Tm  0.042  0.397  0.718
Tm  0.200  0.200  0.207
Tm  0.397  0.042  0.718
Tm  0.603  0.958  0.282
Tm  0.800  0.800  0.793
Tm  0.958  0.603  0.282
Ag  0.500  0.500  0.000
Pd  0.000  0.000  0.500
Pd  0.203  0.797  0.000
Pd  0.372  0.628  0.500
Pd  0.628  0.372  0.500
Pd  0.797  0.203  0.000

---

Entry 15:
Entry from Alexandria via LeMat-Bulk: TmAgPd4 after structural relaxation (PBE).

## Properties
ΔH_f (0 K) (kJ per mole of atoms): -52.1

Cell: 9.200 4.005 5.862 Å, 90.00 108.28 90.00°
Positions (direct):
Tm  0.000  0.000  0.000
Tm  0.500  0.500  0.000
Ag  0.000  0.000  0.500
Ag  0.500  0.500  0.500
Pd  0.166  0.500  0.827
Pd  0.168  0.500  0.333
Pd  0.332  0.000  0.667
Pd  0.334  0.000  0.173
Pd  0.666  0.000  0.827
Pd  0.668  0.000  0.333
Pd  0.832  0.500  0.667
Pd  0.834  0.500  0.173

---

Entry 16:
Entry from Alexandria via LeMat-Bulk: TmAg2Pd8 after structural relaxation (PBE).

## Properties
ΔH_f (0 K) (kJ per mole of atoms): -33.1

Cell: 7.533 7.533 6.388 Å, 104.85 104.85 31.26°
Positions (direct):
Tm  0.000  0.000  0.000
Ag  0.272  0.272  0.362
Ag  0.728  0.728  0.638
Pd  0.090  0.090  0.458
Pd  0.182  0.182  0.909
Pd  0.364  0.364  0.818
Pd  0.454  0.454  0.276
Pd  0.546  0.546  0.724
Pd  0.636  0.636  0.182
Pd  0.818  0.818  0.091
Pd  0.910  0.910  0.542

---

Entry 17:
Entry from Alexandria via LeMat-Bulk: Tm6AgPd5 after structural relaxation (PBE).

## Properties
ΔH_f (0 K) (kJ per mole of atoms): -80.4

Cell: 4.922 7.010 7.747 Å, 90.00 108.32 90.00°
Positions (direct):
Tm  0.000  0.244  0.000
Tm  0.000  0.756  0.000
Tm  0.331  0.248  0.662
Tm  0.331  0.752  0.662
Tm  0.669  0.248  0.338
Tm  0.669  0.752  0.338
Ag  0.500  0.500  0.000
Pd  0.165  0.500  0.329
Pd  0.167  0.000  0.334
Pd  0.500  0.000  0.000
Pd  0.833  0.000  0.666
Pd  0.835  0.500  0.671

---

Entry 18:
Entry from Alexandria via LeMat-Bulk: Tm4Ag2Pd after structural relaxation (PBE).

## Properties
ΔH_f (0 K) (kJ per mole of atoms): -34.3

Cell: 8.624 8.624 8.624 Å, 33.51 33.51 33.51°
Positions (direct):
Tm  0.124  0.124  0.124
Tm  0.374  0.374  0.374
Tm  0.626  0.626  0.626
Tm  0.876  0.876  0.876
Ag  0.248  0.248  0.248
Ag  0.752  0.752  0.752
Pd  0.000  0.000  0.000

---

Entry 19:
Entry from Alexandria via LeMat-Bulk: Tm4AgPd15 after structural relaxation (PBE).

## Properties
ΔH_f (0 K) (kJ per mole of atoms): -70.0

Cell: 4.071 4.071 20.448 Å, 90.00 90.00 90.00°
Positions (direct):
Tm  0.000  0.000  0.101
Tm  0.000  0.000  0.302
Tm  0.000  0.000  0.698
Tm  0.000  0.000  0.899
Ag  0.000  0.000  0.500
Pd  0.000  0.500  0.000
Pd  0.000  0.500  0.202
Pd  0.000  0.500  0.403
Pd  0.000  0.500  0.597
Pd  0.000  0.500  0.798
Pd  0.500  0.000  0.000
Pd  0.500  0.000  0.202
Pd  0.500  0.000  0.403
Pd  0.500  0.000  0.597
Pd  0.500  0.000  0.798
Pd  0.500  0.500  0.102
Pd  0.500  0.500  0.303
Pd  0.500  0.500  0.500
Pd  0.500  0.500  0.697
Pd  0.500  0.500  0.898

---

Entry 20:
Entry from Alexandria via LeMat-Bulk: TmAgPd after structural relaxation (PBE).

## Properties
ΔH_f (0 K) (kJ per mole of atoms): -33.2

Cell: 9.602 3.919 3.906 Å, 90.00 113.90 90.00°
Positions (direct):
Tm  0.000  0.000  0.000
Tm  0.500  0.500  0.000
Ag  0.250  0.000  0.750
Ag  0.750  0.500  0.750
Pd  0.250  0.500  0.250
Pd  0.750  0.000  0.250